No. 1
# LiLaScAl

A geometry-optimized LiLaScAl structure (PBE, Alexandria via LeMat-Bulk).

Lattice parameters (Å, degrees): 7.278 7.278 7.278 90.00 90.00 90.00
Space group F-43m (No. 216)
Asymmetric unit:
Li1 0.000 0.000 0.000 x4
La1 0.250 0.250 0.250 x4
Sc1 0.250 0.250 0.750 x4
Al1 0.000 0.000 0.500 x4

Summary:
N(E_F): 1.092 states/eV per atom
Crystal system: cubic
Energy of formation: -0.18 eV/atom
Total moment: 0.00 μB per formula unit

No. 2
# AlCu3

A geometry-optimized AlCu3 structure (PBE, Alexandria via LeMat-Bulk).

Lattice parameters (Å, degrees): 4.664 4.664 4.664 90.00 90.00 90.00
Space group Pm-3n (No. 223)
Asymmetric unit:
Al1 0.000 0.000 0.000 x2
Cu1 0.000 0.250 0.500 x6

Summary:
N(E_F): 0.398 states/eV per atom
Crystal system: cubic
Energy of formation: -0.14 eV/atom
Total moment: 0.00 μB per formula unit

No. 3
# NiOs2Pb

A geometry-optimized NiOs2Pb structure (PBE, Alexandria via LeMat-Bulk).

Lattice parameters (Å, degrees): 6.333 6.333 6.333 90.00 90.00 90.00
Space group F-43m (No. 216)
Asymmetric unit:
Ni1 0.000 0.000 0.000 x4
Os1 0.000 0.000 0.500 x4
Os2 0.250 0.250 0.250 x4
Pb1 0.250 0.250 0.750 x4

Summary:
N(E_F): 1.453 states/eV per atom
Crystal system: cubic
Energy of formation: 0.88 eV/atom
Total moment: 0.00 μB per formula unit

No. 4
# Cs2MnCuCl6

A geometry-optimized Cs2MnCuCl6 structure (PBE, Alexandria via LeMat-Bulk).

Lattice parameters (Å, degrees): 7.556 7.556 10.115 90.00 90.00 90.00
Space group I4/mmm (No. 139)
Asymmetric unit:
Cs1 0.000 0.500 0.250 x4
Mn1 0.000 0.000 0.000 x2
Cu1 0.000 0.000 0.500 x2
Cl1 0.000 0.000 0.286 x4
Cl2 0.215 0.215 0.000 x8

Summary:
N(E_F): 0.000 states/eV per atom
E_form (uncorrected): -13.4 eV/f.u.
Crystal system: tetragonal
Total moment: 4.00 μB per formula unit

No. 5
# InCu2H2

A geometry-optimized InCu2H2 structure (PBE, Alexandria via LeMat-Bulk).

Lattice parameters (Å, degrees): 6.920 6.920 2.685 90.00 90.00 90.00
Space group P4/mbm (No. 127)
Asymmetric unit:
In1 0.000 0.000 0.000 x2
Cu1 0.180 0.320 0.500 x4
H1 0.087 0.413 0.000 x4

Summary:
N(E_F): 0.125 states/eV per atom
Crystal system: tetragonal
Relative energy among the computed polymorphs: 76.6 meV/atom
Total moment: 0.00 μB per formula unit

No. 6
# Ac2AlZn6Pd

A geometry-optimized Ac2AlZn6Pd structure (PBE, Alexandria via LeMat-Bulk).

Lattice parameters (Å, degrees): 6.620 6.630 6.812 60.95 61.27 60.12
Space group P-1 (No. 2)
Asymmetric unit:
Ac1 0.191 0.190 0.430 x2
Al1 0.500 0.500 0.500 x1
Zn1 0.168 0.325 0.886 x2
Zn2 0.324 0.622 0.886 x2
Zn3 0.380 0.831 0.113 x2
Pd1 0.000 0.000 0.000 x1

Summary:
N(E_F): 0.618 states/eV per atom
Crystal system: triclinic
Energy of formation: -0.29 eV/atom
Total moment: 0.00 μB per formula unit

No. 7
# LiDy2ThSe4

A geometry-optimized LiDy2ThSe4 structure (PBE, Alexandria via LeMat-Bulk).

Lattice parameters (Å, degrees): 7.056 4.063 7.147 90.00 108.80 90.00
Space group P2/m (No. 10)
Asymmetric unit:
Li1 0.000 0.000 0.000 x1
Dy1 0.500 0.000 0.500 x1
Dy2 0.500 0.500 0.000 x1
Th1 0.000 0.500 0.500 x1
Se1 0.248 0.500 0.242 x2
Se2 0.252 0.000 0.766 x2

Summary:
N(E_F): 0.564 states/eV per atom
E_form (uncorrected): -13.2 eV/f.u.
Crystal system: monoclinic
Total moment: 0.00 μB per formula unit

No. 8
# MgAl4Se

A geometry-optimized MgAl4Se structure (PBE, Alexandria via LeMat-Bulk).

Lattice parameters (Å, degrees): 7.721 7.721 7.721 90.00 90.00 90.00
Space group F-43m (No. 216)
Asymmetric unit:
Mg1 0.000 0.000 0.000 x4
Al1 0.126 0.126 0.374 x16
Se1 0.250 0.250 0.750 x4

Summary:
N(E_F): 0.478 states/eV per atom
E_form (uncorrected): 0.6 eV/f.u.
Crystal system: cubic
Total moment: 0.00 μB per formula unit

- Which of these has the lowest N(E_F)?
  Cs2MnCuCl6

- Which of these has the highest total moment?
  Cs2MnCuCl6

- Which of these has the highest total moment?
  Cs2MnCuCl6

- Look up the N(E_F) of the eighth one.
  0.478 states/eV per atom